Entry from Alexandria: an optimized crystal structure of Cs2NaNi2F7 (PBE+U).

Structure (extended XYZ):
```
12
Lattice="-2.072 2.072 11.395 2.072 -2.072 11.395 2.072 2.072 -11.395" Properties=species:S:1:pos:R:3 pbc="T T T"
Cs 0.000 0.000 4.157
Cs 0.000 0.000 18.634
Na 0.000 0.000 0.000
Ni 0.000 0.000 9.426
Ni 0.000 0.000 13.364
F 2.072 0.000 1.894
F 0.000 0.000 7.402
F 2.072 0.000 9.501
F 0.000 0.000 11.395
F 0.000 2.072 1.894
F 0.000 0.000 15.389
F 0.000 2.072 9.501
```

Uncorrected energy: -4.21 eV/atom